NaCrIF2 | GGA+U | optimized geometry

Properties
* energy: -4.75 eV/atom
* D(E_F): 0.00 states/eV/atom

abc: 4.154 4.154 6.378
angles: 90.00 90.00 90.00
Fractional positions:
1 I 0.000 0.000 0.500
2 Cr 0.000 0.000 0.000
3 F 0.500 0.000 0.000
4 Na 0.500 0.500 0.500
5 F 0.000 0.500 0.000